Record 1
## MoIrCl2 (PBE-GGA)

Data for crystalline MoIrCl2 at its relaxed geometry.

a = 2.869 Å, b = 4.274 Å, c = 5.344 Å
α = 90.00°, β = 90.00°, γ = 90.00°
Space group Pmmm (No. 47)
Symmetry-distinct sites (fractional):
Mo (0.000, 0.000, 0.000) x1
Ir (0.500, 0.000, 0.500) x1
Cl (0.000, 0.500, 0.500) x1
Cl (0.500, 0.500, 0.000) x1

Summary:
raw formation energy: 0.66 eV per atom
ΔE to the lowest computed polymorph: 891 meV/atom
raw total energy: -5.188 eV/atom
density of states at the Fermi level: 3.6 states/eV per cell



Record 2
## Sr3PbN (PBE-GGA)

Data for crystalline Sr3PbN at its relaxed geometry.

a = 7.8747 Å, b = 7.8747 Å, c = 23.5961 Å
α = 90.00°, β = 90.00°, γ = 120.00°
Space group R-3c (No. 167, hexagonal axes)
Symmetry-distinct sites (fractional):
Sr (0.0000, 0.2931, 0.2500) x18
Pb (0.0000, 0.0000, 0.0000) x6
N (0.0000, 0.0000, 0.2500) x6

Summary:
raw formation energy: -0.22 eV per atom
raw total energy: -3.639 eV/atom
density of states at the Fermi level: 22.0 states/eV per cell



Record 3
## SiWCl (PBE-GGA)

Data for crystalline SiWCl at its relaxed geometry.

a = 6.095 Å, b = 6.095 Å, c = 6.095 Å
α = 90.00°, β = 90.00°, γ = 90.00°
Space group F-43m (No. 216)
Symmetry-distinct sites (fractional):
Si (0.000, 0.000, 0.000) x4
W (0.250, 0.250, 0.750) x4
Cl (0.250, 0.250, 0.250) x4

Summary:
raw formation energy: 1.31 eV per atom
ΔE to the lowest computed polymorph: 1035 meV/atom
raw total energy: -5.435 eV/atom
density of states at the Fermi level: 9.8 states/eV per cell



Record 4
## CaLaCd3 (PBE-GGA)

Data for crystalline CaLaCd3 at its relaxed geometry.

a = 5.935 Å, b = 5.935 Å, c = 5.935 Å
α = 90.00°, β = 90.00°, γ = 90.00°
Space group Pm-3m (No. 221)
Symmetry-distinct sites (fractional):
Ca (0.000, 0.000, 0.000) x1
La (0.500, 0.500, 0.500) x1
Cd (0.000, 0.500, 0.500) x3

Summary:
ΔE to the lowest computed polymorph: 801 meV/atom
raw total energy: -1.477 eV/atom
formation energy from the elements: 2.29 eV per formula unit
density of states at the Fermi level: 6.3 states/eV per cell



Record 5
## CoIr2W (PBE-GGA)

Data for crystalline CoIr2W at its relaxed geometry.

a = 5.368 Å, b = 5.368 Å, c = 11.155 Å
α = 90.00°, β = 90.00°, γ = 90.00°
Space group I-42d (No. 122)
Symmetry-distinct sites (fractional):
Co (0.000, 0.000, 0.000) x4
Ir (0.221, 0.250, 0.125) x8
W (0.000, 0.000, 0.500) x4

Summary:
ΔE to the lowest computed polymorph: 1112 meV/atom
raw total energy: -8.547 eV/atom
formation energy from the elements: 3.59 eV per formula unit
density of states at the Fermi level: 9.4 states/eV per cell



Record 6
## FeNiRh (PBE-GGA)

Data for crystalline FeNiRh at its relaxed geometry.

a = 6.868 Å, b = 3.968 Å, c = 3.978 Å
α = 90.00°, β = 125.26°, γ = 90.00°
Space group Cm (No. 8)
Symmetry-distinct sites (fractional):
Fe (0.000, 0.000, 0.000) x2
Ni (0.250, 0.000, 0.749) x2
Rh (0.499, 0.000, 0.498) x2

Summary:
ΔE to the lowest computed polymorph: 428 meV/atom
raw total energy: -6.774 eV/atom
formation energy from the elements: 1.27 eV per formula unit
density of states at the Fermi level: 7.5 states/eV per cell



Record 7
## ZrBW (PBE-GGA)

Data for crystalline ZrBW at its relaxed geometry.

a = 9.604 Å, b = 3.375 Å, c = 6.581 Å
α = 90.00°, β = 125.45°, γ = 90.00°
Space group C2/m (No. 12)
Symmetry-distinct sites (fractional):
Zr (0.084, 0.000, 0.337) x4
B (0.114, 0.500, 0.651) x4
W (0.193, 0.500, 0.087) x4

Summary:
ΔE to the lowest computed polymorph: 0 meV/atom
raw total energy: -9.815 eV/atom
formation energy from the elements: -1.27 eV per formula unit
density of states at the Fermi level: 6.3 states/eV per cell



Record 8
## LiPaSn2O7 (PBE-GGA)

Data for crystalline LiPaSn2O7 at its relaxed geometry.

a = 3.723 Å, b = 3.723 Å, c = 11.576 Å
α = 90.00°, β = 90.00°, γ = 90.00°
Space group P4/mmm (No. 123)
Symmetry-distinct sites (fractional):
Li (0.000, 0.000, 0.000) x1
Pa (0.000, 0.000, 0.500) x1
Sn (0.500, 0.500, 0.277) x2
O (0.000, 0.500, 0.358) x4
O (0.500, 0.500, 0.113) x2
O (0.500, 0.500, 0.500) x1

Summary:
raw formation energy: -1.82 eV per atom
raw total energy: -6.735 eV/atom



Record 9
## PmNd5Y8 (PBE-GGA)

Data for crystalline PmNd5Y8 at its relaxed geometry.

a = 9.665 Å, b = 9.665 Å, c = 10.259 Å
α = 90.00°, β = 90.00°, γ = 90.00°
Space group I-4 (No. 82)
Symmetry-distinct sites (fractional):
Pm (0.000, 0.000, 0.000) x2
Nd (0.000, 0.500, 0.750) x2
Nd (0.110, 0.714, 0.327) x8
Y (0.072, 0.824, 0.651) x8
Y (0.083, 0.677, 0.996) x8

Summary:
raw total energy: -5.508 eV/atom
formation energy from the elements: 3.19 eV per formula unit
density of states at the Fermi level: 42.4 states/eV per cell



Record 10
## Y2SnO5 (PBE-GGA)

Data for crystalline Y2SnO5 at its relaxed geometry.

a = 7.550 Å, b = 3.757 Å, c = 15.817 Å
α = 90.00°, β = 90.00°, γ = 90.00°
Space group Pnma (No. 62)
Symmetry-distinct sites (fractional):
Y (0.100, 0.250, 0.088) x4
Y (0.135, 0.250, 0.741) x4
Sn (0.126, 0.250, 0.428) x4
O (0.090, 0.750, 0.654) x4
O (0.092, 0.750, 0.468) x4
O (0.105, 0.750, 0.179) x4
O (0.143, 0.750, 0.003) x4
O (0.194, 0.750, 0.830) x4

Summary:
raw formation energy: -2.83 eV per atom
raw total energy: -8.046 eV/atom
density of states at the Fermi level: 0.0 states/eV per cell



Record 11
## SmErZn (PBE-GGA)

Data for crystalline SmErZn at its relaxed geometry.

a = 9.954 Å, b = 4.950 Å, c = 7.059 Å
α = 90.00°, β = 90.00°, γ = 90.00°
Space group Pnma (No. 62)
Symmetry-distinct sites (fractional):
Sm (0.132, 0.250, 0.001) x4
Er (0.119, 0.250, 0.501) x4
Zn (0.124, 0.750, 0.252) x4

Summary:
ΔE to the lowest computed polymorph: 233 meV/atom
raw total energy: -3.492 eV/atom
formation energy from the elements: 0.08 eV per formula unit
density of states at the Fermi level: 16.7 states/eV per cell



Record 12
## NaTmTl (PBE-GGA)

Data for crystalline NaTmTl at its relaxed geometry.

a = 5.4551 Å, b = 5.4551 Å, c = 6.3031 Å
α = 90.00°, β = 90.00°, γ = 120.00°
Space group P6_3/mmc (No. 194)
Symmetry-distinct sites (fractional):
Na (0.0000, 0.0000, 0.0000) x2
Tm (0.3333, 0.6667, 0.2500) x2
Tl (0.3333, 0.6667, 0.7500) x2

Summary:
ΔE to the lowest computed polymorph: 0 meV/atom
raw total energy: -2.830 eV/atom
formation energy from the elements: -0.33 eV per formula unit
density of states at the Fermi level: 4.4 states/eV per cell